# 1
K2CrCo PBE relaxed; DFT formation energy = 1.396 eV/atom; spin magnetization = 7.069 μB per formula unit
1.0
0.8335 -5.6909 -0.2743
-0.0454 -3.1520 4.8187
-4.3689 -3.6032 1.0424
K Co Cr
2 1 1
Direct
0.2500 0.2500 0.2500
0.7500 0.7500 0.7500
0.5000 0.5000 0.5000
0.0000 0.0000 0.0000

---

# 2
DyThAgIr PBE relaxed; DFT formation energy = -0.495 eV/atom; spin magnetization = 0.000 μB per formula unit
1.0
5.0853 0.0000 0.0000
2.5427 4.4040 0.0000
2.5427 1.4680 4.1521
Th Ir Dy Ag
1 1 1 1
Direct
0.5000 0.5000 0.5000
0.7500 0.7500 0.7500
0.0000 0.0000 0.0000
0.2500 0.2500 0.2500

---

# 3
LaTlTc2 PBE relaxed; DFT formation energy = 0.611 eV/atom; spin magnetization = 0.001 μB per formula unit
1.0
-4.2909 2.0869 1.9141
-2.9326 0.5875 -4.1816
2.3849 -4.2709 1.5820
Tl La Tc
1 1 2
Direct
0.5000 0.5000 0.0000
0.7500 0.2500 0.5000
0.0000 0.0000 0.0000
0.2500 0.7500 0.5000

---

# 4
KHgGe PBE relaxed; DFT formation energy = -0.172 eV/atom; spin magnetization = 0.000 μB per formula unit
1.0
3.9729 -0.0326 -0.8046
-0.2476 5.1304 -1.4304
-0.2099 -0.2229 9.1744
Hg K Ge
2 2 2
Direct
0.0401 0.2919 0.5838
0.9599 0.7081 0.4162
0.3647 0.1148 0.2296
0.6353 0.8852 0.7704
0.2090 0.4591 0.9182
0.7910 0.5409 0.0818

---

# 5
Mg3In5Ga12 PBE relaxed; DFT formation energy = 0.173 eV/atom; spin magnetization = 0.000 μB per formula unit
1.0
13.9012 0.0000 0.0000
-4.6337 13.1062 0.0000
-4.6337 -6.5531 11.3503
In Mg Ga
20 12 48
Direct
0.6250 0.8750 0.2500
0.3750 0.1250 0.7500
0.5000 0.5000 0.0000
0.0000 0.0000 0.0000
0.6250 0.7500 0.8750
0.5000 0.0000 0.0000
0.5000 0.0000 0.5000
0.0000 0.5000 0.5000
0.5000 0.5000 0.5000
0.7500 0.6250 0.3750
0.3750 0.2500 0.1250
0.1250 0.3750 0.2500
0.0000 0.5000 0.0000
0.8750 0.6250 0.7500
0.1250 0.7500 0.3750
0.8750 0.2500 0.6250
0.7500 0.1250 0.8750
0.2500 0.8750 0.1250
0.2500 0.3750 0.6250
0.0000 0.0000 0.5000
0.1250 0.2500 0.8750
0.7500 0.3750 0.1250
0.2500 0.1250 0.3750
0.6250 0.2500 0.3750
0.3750 0.6250 0.2500
0.8750 0.7500 0.1250
0.2500 0.6250 0.8750
0.3750 0.7500 0.6250
0.1250 0.8750 0.7500
0.6250 0.3750 0.7500
0.8750 0.1250 0.2500
0.7500 0.8750 0.6250
0.4121 0.1472 0.5726
0.8528 0.2649 0.4254
0.3528 0.9254 0.7649
0.2351 0.5746 0.6472
0.2649 0.8528 0.9254
0.0879 0.9274 0.3528
0.6472 0.5726 0.9121
0.9121 0.8395 0.7649
0.5879 0.8528 0.4274
0.0726 0.9121 0.1472
0.0746 0.6472 0.7351
0.7649 0.4254 0.3528
0.4274 0.3528 0.5879
0.9274 0.0879 0.8528
0.7351 0.5879 0.1605
0.3395 0.5746 0.4274
0.5726 0.9254 0.6605
0.6472 0.0746 0.2351
0.8395 0.9121 0.2649
0.6605 0.4254 0.5726
0.4254 0.6605 0.0726
0.4254 0.7649 0.8528
0.2351 0.6605 0.0879
0.9274 0.8395 0.5746
0.8528 0.5879 0.9274
0.0746 0.4274 0.8395
0.4274 0.0746 0.3395
0.9254 0.3528 0.2649
0.1472 0.7351 0.5746
0.5726 0.6472 0.4121
0.1605 0.0726 0.9254
0.9254 0.5726 0.1605
0.7351 0.1472 0.0746
0.1472 0.4121 0.0726
0.3395 0.7649 0.4121
0.3528 0.4274 0.0879
0.5746 0.2351 0.1472
0.4121 0.2649 0.3395
0.8395 0.9274 0.0746
0.1605 0.0879 0.7351
0.2649 0.4121 0.8395
0.6605 0.2351 0.5879
0.5879 0.7351 0.6605
0.9121 0.0726 0.6472
0.0879 0.1605 0.2351
0.0726 0.1605 0.4254
0.7649 0.3395 0.9121
0.5746 0.3395 0.9274

---

# 6
SrFe3Os PBE relaxed; DFT formation energy = 0.897 eV/atom; spin magnetization = 8.481 μB per formula unit
1.0
4.7286 0.0000 0.0000
0.0000 4.7286 0.0000
0.0000 0.0000 4.7286
Fe Sr Os
3 1 1
Direct
0.5000 0.0000 0.0000
0.0000 0.5000 0.0000
0.0000 0.0000 0.5000
0.5000 0.5000 0.5000
0.0000 0.0000 0.0000

---

# 7
NdSn2Au4 PBE relaxed; DFT formation energy = -0.402 eV/atom; spin magnetization = 0.000 μB per formula unit
1.0
4.5185 0.0000 1.4117
2.0387 4.0324 1.4117
-0.2835 -0.1744 8.8447
Sn Au Nd
2 4 1
Direct
0.2432 0.2432 0.2703
0.7568 0.7568 0.7297
0.1335 0.1335 0.5994
0.6036 0.6036 0.1893
0.8665 0.8665 0.4006
0.3964 0.3964 0.8107
0.0000 0.0000 0.0000

---

# 8
CrIr2Rh6 PBE relaxed; DFT formation energy = -0.046 eV/atom; spin magnetization = 0.353 μB per formula unit
1.0
2.6954 0.2479 0.2109
-0.1694 5.3914 -4.1197
0.6725 0.1587 8.6371
Rh Ir Cr
6 2 1
Direct
0.0732 0.5211 0.8539
0.3392 0.3254 0.3209
0.2568 0.8156 0.4863
0.9268 0.4789 0.1461
0.7432 0.1844 0.5137
0.6608 0.6746 0.6791
0.5908 0.1404 0.8193
0.4092 0.8596 0.1807
0.0000 0.0000 0.0000

---

| no. | volume (A^3/atom) |
| --- | --- |
| 1 | 33.8 |
| 2 | 23.2 |
| 3 | 20.7 |
| 4 | 30.8 |
| 5 | 25.8 |
| 6 | 21.1 |
| 7 | 23.3 |
| 8 | 14.0 |